(1)
DFT (PBE) results for crystalline CuBi2Rh at its relaxed geometry.

The space group is I-42d (No. 122) and the conventional cell measures 7.364, 7.364 and 6.764 Å, with angles of 90.00, 90.00 and 90.00 degrees. The inequivalent atoms are Cu at (0.000, 0.000, 0.000), Bi at (0.249, 0.250, 0.625) and Rh at (0.000, 0.000, 0.500).

The value obtained for the formation energy is 0.309 eV/atom. The value obtained for the total magnetization is 0.0 μB/f.u.

(2)
DFT (PBE) results for crystalline Cu2BiRh2 at its relaxed geometry.

The space group is P4/mbm (No. 127) and the conventional cell measures 7.016, 7.016 and 3.237 Å, with angles of 90.00, 90.00 and 90.00 degrees. The inequivalent atoms are Cu at (0.126, 0.374, 0.000), Bi at (0.000, 0.000, 0.000) and Rh at (0.165, 0.665, 0.500).

The value obtained for the formation energy is 0.212 eV/atom. The value obtained for the total magnetization is 0.0 μB/f.u. The value obtained for the offset from the most stable computed form is 32.0 meV/atom.

(3)
DFT (PBE) results for crystalline Cu2BiRh at its relaxed geometry.

The space group is Fm-3m (No. 225) and the conventional cell measures 6.398, 6.398 and 6.398 Å, with angles of 90.00, 90.00 and 90.00 degrees. The inequivalent atoms are Cu at (0.250, 0.250, 0.250), Bi at (0.000, 0.000, 0.000) and Rh at (0.000, 0.000, 0.500).

The value obtained for the formation energy is 0.204 eV/atom. The value obtained for the total magnetization is 0.0 μB/f.u. The value obtained for the offset from the most stable computed form is 35.5 meV/atom.

(4)
DFT (PBE) results for crystalline Cu2BiRh2 at its relaxed geometry.

The space group is P4/mbm (No. 127) and the conventional cell measures 7.121, 7.121 and 3.197 Å, with angles of 90.00, 90.00 and 90.00 degrees. The inequivalent atoms are Cu at (0.154, 0.346, 0.000), Bi at (0.000, 0.000, 0.500) and Rh at (0.138, 0.638, 0.500).

The value obtained for the formation energy is 0.180 eV/atom. The value obtained for the total magnetization is 0.0 μB/f.u. The value obtained for the offset from the most stable computed form is 0.0 meV/atom.

(5)
DFT (PBE) results for crystalline CuBiRh at its relaxed geometry.

The space group is F-43m (No. 216) and the conventional cell measures 6.211, 6.211 and 6.211 Å, with angles of 90.00, 90.00 and 90.00 degrees. The inequivalent atoms are Cu at (0.000, 0.000, 0.000), Bi at (0.000, 0.000, 0.500) and Rh at (0.250, 0.250, 0.750).

The value obtained for the formation energy is 0.077 eV/atom. The value obtained for the total magnetization is 0.0 μB/f.u. The value obtained for the offset from the most stable computed form is 0.0 meV/atom.

(6)
DFT (PBE) results for crystalline Cu2BiRh at its relaxed geometry.

The space group is P4/mmm (No. 123) and the conventional cell measures 3.992, 3.992 and 4.052 Å, with angles of 90.00, 90.00 and 90.00 degrees. The inequivalent atoms are Cu at (0.000, 0.500, 0.000), Bi at (0.000, 0.000, 0.500) and Rh at (0.500, 0.500, 0.500).

The value obtained for the formation energy is 0.168 eV/atom. The value obtained for the total magnetization is 0.0 μB/f.u. The value obtained for the offset from the most stable computed form is 0.0 meV/atom.